Entry 1:
DFT (GGA-PBE) results for a relaxed structure of ZnCoBW.

As for the final energy: -6.400 eV per atom. The polymorph energy (0 for the lowest one) comes out at 0.0000 eV per atom.

It has space group F-43m (No. 216), with a = 5.7045 Å, b = 5.7045 Å, c = 5.7045 Å, α = 90.00°, β = 90.00° and γ = 90.00°. The distinct sites, in fractional coordinates, are Zn at (0.0000, 0.0000, 0.0000), Co at (0.2500, 0.2500, 0.7500), B at (0.0000, 0.0000, 0.5000) and W at (0.2500, 0.2500, 0.2500).

---

Entry 2:
DFT (GGA-PBE) results for a relaxed structure of ZnCoBW.

As for the final energy: -6.144 eV per atom. The polymorph energy (0 for the lowest one) comes out at 0.2559 eV per atom.

It has space group F-43m (No. 216), with a = 5.7510 Å, b = 5.7510 Å, c = 5.7510 Å, α = 90.00°, β = 90.00° and γ = 90.00°. The distinct sites, in fractional coordinates, are Zn at (0.0000, 0.0000, 0.0000), Co at (0.0000, 0.0000, 0.5000), B at (0.2500, 0.2500, 0.2500) and W at (0.2500, 0.2500, 0.7500).